# 1
VASP calculation (PBE) on Tm3In3AgPtAu after structural relaxation.

The structure in CIF format:
```
data_Tm3In3AgPtAu
_symmetry_space_group_name_H-M 'P -6'
_symmetry_Int_Tables_number 174
_cell_length_a 7.8549
_cell_length_b 7.8549
_cell_length_c 3.7240
_cell_angle_alpha 90.00
_cell_angle_beta 90.00
_cell_angle_gamma 120.00
loop_
_symmetry_equiv_pos_as_xyz
'x,y,z'
'-x+y,-x,-z'
'-y,x-y,z'
'x,y,-z'
'-x+y,-x,z'
'-y,x-y,-z'
loop_
_atom_site_label
_atom_site_type_symbol
_atom_site_fract_x
_atom_site_fract_y
_atom_site_fract_z
Tm1 Tm 0.0800 0.7313 0.0000
In1 In 0.3960 0.0657 0.5000
Ag1 Ag 0.6667 0.3333 0.0000
Pt1 Pt 0.3333 0.6667 0.5000
Au1 Au 0.0000 0.0000 0.5000
```

***

# 2
VASP calculation (PBE) on Rb2InAg2Au after structural relaxation.

The structure in CIF format:
```
data_Rb2InAg2Au
_symmetry_space_group_name_H-M 'P m m a'
_symmetry_Int_Tables_number 51
_cell_length_a 5.745
_cell_length_b 6.813
_cell_length_c 9.238
_cell_angle_alpha 90.00
_cell_angle_beta 90.00
_cell_angle_gamma 90.00
loop_
_symmetry_equiv_pos_as_xyz
'x,y,z'
'-x,-y,-z'
'-x+1/2,-y,z'
'x+1/2,y,-z'
'x+1/2,-y,-z'
'-x+1/2,y,z'
'-x,y,-z'
'x,-y,z'
loop_
_atom_site_label
_atom_site_type_symbol
_atom_site_fract_x
_atom_site_fract_y
_atom_site_fract_z
Rb1 Rb 0.250 0.000 0.127
Rb2 Rb 0.250 0.500 0.363
In1 In 0.250 0.500 0.926
Ag1 Ag 0.250 0.212 0.715
Au1 Au 0.000 0.000 0.500
```

***

# 3
VASP calculation (PBE) on Sm3In3Ag2Au after structural relaxation.

The structure in CIF format:
```
data_Sm3In3Ag2Au
_symmetry_space_group_name_H-M 'P -6 2 m'
_symmetry_Int_Tables_number 189
_symmetry_space_group_name_Hall 'P -6 -2'
_cell_length_a 7.8546
_cell_length_b 7.8546
_cell_length_c 4.0896
_cell_angle_alpha 90.00
_cell_angle_beta 90.00
_cell_angle_gamma 120.00
loop_
_atom_site_label
_atom_site_type_symbol
_atom_site_fract_x
_atom_site_fract_y
_atom_site_fract_z
Sm1 Sm 0.0000 0.5959 0.0000
In1 In 0.0000 0.2588 0.5000
Ag1 Ag 0.3333 0.6667 0.5000
Au1 Au 0.0000 0.0000 0.0000
```

***

Short version: total DFT energy (no corrections) = -4.496; -2.391; -3.996 eV/atom, in the order given.